First-principles (PBE) data for SbH after structural relaxation, as listed in Alexandria via LeMat-Bulk.

```
data_SbH
_chemical_formula_sum 'Sb4 H4'
_cell_length_a 7.026
_cell_length_b 7.026
_cell_length_c 3.114
_cell_angle_alpha 90.00
_cell_angle_beta 90.00
_cell_angle_gamma 90.00
_space_group_name_H-M_alt 'P 42/m n m'
_space_group_IT_number 136
_space_group_name_Hall '-P 4n 2n'
loop_
_atom_site_label
_atom_site_type_symbol
_atom_site_fract_x
_atom_site_fract_y
_atom_site_fract_z
Sb1 Sb 0.165 0.165 0.000
H1 H 0.113 0.887 0.000
```

Computed properties:
excess energy over the best structure of this formula in the dataset = 508 meV/atom
DOS(E_F) = 0.265 states/eV per atom
size of the total moment = 0.0 μB per cell